First-principles (GGA-PBE) data for a relaxed CsK2PPt crystal, as listed in Alexandria via LeMat-Bulk.

Properties
- Space group: P4/mmm
- Size of the total moment: 0.26 μB/f.u.
- ΔE_f: -1.02 eV per formula unit

Structure (CIF):
```
data_CsK2PPt
_symmetry_space_group_name_H-M 'P 1'
_symmetry_Int_Tables_number 1
_symmetry_space_group_name_Hall 'P 1'
_cell_length_a 6.412
_cell_length_b 6.412
_cell_length_c 4.531
_cell_angle_alpha 90.00
_cell_angle_beta 90.00
_cell_angle_gamma 90.00
loop_
_atom_site_label
_atom_site_fract_x
_atom_site_fract_y
_atom_site_fract_z
_atom_site_occupancy
Cs1 0.000 0.000 0.000 1
K1 0.000 0.500 0.500 1
K2 0.500 0.000 0.500 1
P1 0.500 0.500 0.000 1
Pt1 0.500 0.500 0.500 1
```